[1]
Here is La4Ho3ThSe8 after structural relaxation from the Alexandria database. Energies are from PBE.

Lattice parameters (Å, degrees): 8.381 8.438 8.382 119.78 120.00 90.00
Atoms (fractional coordinates):
Se  0.257  0.271  0.514
Se  0.263  0.266  0.015
Se  0.248  0.733  0.496
Se  0.752  0.266  0.015
Se  0.248  0.734  0.985
Se  0.737  0.734  0.985
Se  0.743  0.729  0.486
Se  0.752  0.267  0.504
La  0.500  0.000  0.500
La  0.500  0.000  0.000
La  0.000  0.000  0.500
La  0.000  0.000  0.000
Th  0.000  0.500  0.000
Ho  0.000  0.500  0.500
Ho  0.500  0.500  0.000
Ho  0.500  0.500  0.500

## Properties
The density of states at the Fermi level is 10.75 states/eV/cell. The total magnetic moment is 0.00 μB per atom. Its space group is R-3m, No. 166. The total energy is -98.12 eV/cell. The calculation puts the energy relative to the elements, uncorrected at -1.836 eV per atom. The value obtained for the volume is 26.28 Å³ per atom.

[2]
Here is La3Ho2ThSe6 after structural relaxation from the Alexandria database. Energies are from PBE.

Lattice parameters (Å, degrees): 7.280 7.280 7.323 99.58 99.58 120.14
Atoms (fractional coordinates):
Se  0.735  0.735  0.232
Se  0.078  0.421  0.235
Se  0.421  0.078  0.235
Se  0.579  0.922  0.765
Se  0.265  0.265  0.768
Se  0.922  0.579  0.765
La  0.163  0.837  0.500
La  0.837  0.163  0.500
La  0.500  0.500  0.500
Ho  0.667  0.333  0.000
Ho  0.333  0.667  0.000
Th  0.000  0.000  0.000

## Properties
The density of states at the Fermi level is 5.50 states/eV/cell. The total magnetic moment is 0.00 μB per atom. Its space group is C2/m, No. 12. The total energy is -74.22 eV/cell. The calculation puts the energy relative to the elements, uncorrected at -1.830 eV per atom. The value obtained for the volume is 26.37 Å³ per atom.

[3]
Here is LaHo2ThSe4 after structural relaxation from the Alexandria database. Energies are from PBE.

Lattice parameters (Å, degrees): 4.089 7.365 7.114 71.27 90.00 90.00
Atoms (fractional coordinates):
Se  0.500  0.768  0.246
Se  0.500  0.232  0.754
Se  0.000  0.770  0.741
Se  0.000  0.230  0.259
Ho  0.500  0.000  0.500
Ho  0.000  0.000  0.000
La  0.500  0.500  0.000
Th  0.000  0.500  0.500

## Properties
The density of states at the Fermi level is 3.92 states/eV/cell. The total magnetic moment is 0.00 μB per atom. Its space group is P2/m, No. 10. The total energy is -49.37 eV/cell. The calculation puts the energy relative to the elements, uncorrected at -1.741 eV per atom. The value obtained for the volume is 25.36 Å³ per atom.

[4]
Here is LaHo2Tl3Se6 after structural relaxation from the Alexandria database. Energies are from PBE.

Lattice parameters (Å, degrees): 7.369 7.369 8.130 98.69 98.69 119.96
Atoms (fractional coordinates):
Ho  0.667  0.333  0.000
Ho  0.333  0.667  0.000
Tl  0.836  0.164  0.500
Tl  0.500  0.500  0.500
Tl  0.164  0.836  0.500
Se  0.278  0.278  0.796
Se  0.069  0.415  0.207
Se  0.931  0.585  0.793
Se  0.722  0.722  0.204
Se  0.415  0.069  0.207
Se  0.585  0.931  0.793
La  0.000  0.000  0.000

## Properties
The total magnetic moment is 0.00 μB per atom. Its space group is C2/m, No. 12. The total energy is -58.95 eV/cell. The calculation puts the energy relative to the elements, uncorrected at -1.405 eV per atom. The value obtained for the volume is 30.38 Å³ per atom.

[5]
Here is La2HoTl3Se6 after structural relaxation from the Alexandria database. Energies are from PBE.

Lattice parameters (Å, degrees): 7.517 7.517 8.117 98.88 98.88 119.97
Atoms (fractional coordinates):
Se  0.610  0.931  0.793
Se  0.931  0.610  0.793
Se  0.250  0.250  0.790
Se  0.069  0.390  0.207
Se  0.390  0.069  0.207
Se  0.750  0.750  0.210
Tl  0.832  0.168  0.500
Tl  0.500  0.500  0.500
Tl  0.168  0.832  0.500
La  0.333  0.667  0.000
La  0.667  0.333  0.000
Ho  0.000  0.000  0.000

## Properties
The density of states at the Fermi level is 0.00 states/eV/cell. The total magnetic moment is 0.00 μB per atom. Its space group is C2/m, No. 12. The total energy is -59.59 eV/cell. The calculation puts the energy relative to the elements, uncorrected at -1.430 eV per atom. The value obtained for the volume is 31.50 Å³ per atom.

[6]
Here is La3HoTl4Se8 after structural relaxation from the Alexandria database. Energies are from PBE.

Lattice parameters (Å, degrees): 8.724 9.217 8.725 118.27 120.00 90.00
Atoms (fractional coordinates):
Tl  0.500  0.000  0.500
Tl  0.000  0.000  0.500
Tl  0.000  0.000  0.000
Tl  0.500  0.000  0.000
Se  0.738  0.713  0.475
Se  0.230  0.708  0.978
Se  0.230  0.708  0.460
Se  0.252  0.292  0.022
Se  0.262  0.287  0.525
Se  0.748  0.708  0.978
Se  0.770  0.292  0.540
Se  0.770  0.292  0.022
La  0.000  0.500  0.500
La  0.500  0.500  0.500
La  0.500  0.500  0.000
Ho  0.000  0.500  0.000

## Properties
The density of states at the Fermi level is 0.00 states/eV/cell. The total magnetic moment is 0.00 μB per atom. Its space group is R-3m, No. 166. The total energy is -79.65 eV/cell. The calculation puts the energy relative to the elements, uncorrected at -1.434 eV per atom. The value obtained for the volume is 31.79 Å³ per atom.

[7]
Here is La3HoTm2Se6 after structural relaxation from the Alexandria database. Energies are from PBE.

Lattice parameters (Å, degrees): 7.122 7.122 7.406 99.22 99.22 120.16
Atoms (fractional coordinates):
Se  0.411  0.075  0.226
Se  0.075  0.411  0.226
Se  0.739  0.739  0.226
Se  0.261  0.261  0.774
Se  0.925  0.589  0.774
Se  0.589  0.925  0.774
Tm  0.667  0.333  0.000
Tm  0.333  0.667  0.000
La  0.500  0.500  0.500
La  0.165  0.835  0.500
La  0.835  0.165  0.500
Ho  0.000  0.000  0.000

## Properties
The density of states at the Fermi level is 5.94 states/eV/cell. The total magnetic moment is 0.00 μB per atom. Its space group is C2/m, No. 12. The total energy is -71.45 eV/cell. The calculation puts the energy relative to the elements, uncorrected at -1.854 eV per atom. The value obtained for the volume is 25.63 Å³ per atom.

[8]
Here is La2HoTmSe5 after structural relaxation from the Alexandria database. Energies are from PBE.

Lattice parameters (Å, degrees): 5.080 5.080 10.700 90.00 90.00 90.00
Last column: magnetic moment on the atom in μB.
Atoms (fractional coordinates):
La  0.500  0.500  0.701  -0.13
La  0.500  0.500  0.299  -0.13
Tm  0.000  0.000  0.500  -0.01
Se  0.000  0.500  0.500  0.00
Se  0.500  0.500  0.000  0.00
Se  0.000  0.000  0.755  0.00
Se  0.000  0.000  0.245  0.00
Se  0.500  0.000  0.500  0.00
Ho  0.000  0.000  0.000  -0.01

## Properties
The density of states at the Fermi level is 7.21 states/eV/cell. The total magnetic moment is 0.05 μB per atom. Its space group is P4/mmm, No. 123. The total energy is -49.33 eV/cell. The calculation puts the energy relative to the elements, uncorrected at -1.445 eV per atom. The value obtained for the volume is 30.68 Å³ per atom.

Q: Which of these has the lowest energy relative to the elements, uncorrected?
A: La3HoTm2Se6

Q: Among the records above, which one has the highest total magnetic moment?
A: La2HoTmSe5

Q: What is the volume in the second record?
A: 26.37 Å³ per atom